Entry 1:
RbMnGeSe3: optimized geometry, PBE.

The structure in CIF format:
```
data_RbMnGeSe3
_chemical_formula_sum 'Rb2 Mn2 Ge2 Se6'
_cell_length_a 8.8438
_cell_length_b 3.8767
_cell_length_c 10.5572
_cell_angle_alpha 90.00
_cell_angle_beta 112.03
_cell_angle_gamma 90.00
_space_group_name_H-M_alt 'P 1 21/m 1'
_space_group_IT_number 11
_space_group_name_Hall '-P 2yb'
loop_
_atom_site_label
_atom_site_type_symbol
_atom_site_fract_x
_atom_site_fract_y
_atom_site_fract_z
Rb1 Rb 0.2236 0.2500 0.2611
Mn1 Mn 0.3649 0.7500 0.8485
Ge1 Ge 0.1242 0.2500 0.5631
Se1 Se 0.1389 0.2500 0.7998
Se2 Se 0.3351 0.7500 0.5949
Se3 Se 0.4226 0.7500 0.0995
```

---

Entry 2:
CrN2: optimized geometry, PBE.

The structure in CIF format:
```
data_CrN2
_chemical_formula_sum 'Cr2 N4'
_cell_length_a 2.7420
_cell_length_b 2.7420
_cell_length_c 7.5285
_cell_angle_alpha 90.00
_cell_angle_beta 90.00
_cell_angle_gamma 90.00
_space_group_name_H-M_alt 'I 4 m m'
_space_group_IT_number 107
_space_group_name_Hall 'I 4 -2'
loop_
_atom_site_label
_atom_site_type_symbol
_atom_site_fract_x
_atom_site_fract_y
_atom_site_fract_z
Cr1 Cr 0.0000 0.0000 0.0000
N1 N 0.0000 0.0000 0.6042
N2 N 0.0000 0.0000 0.7741
```

---

Entry 3:
TiBiSe2: optimized geometry, PBE.

The structure in CIF format:
```
data_TiBiSe2
_chemical_formula_sum 'Ti3 Bi3 Se6'
_cell_length_a 3.2187
_cell_length_b 3.2187
_cell_length_c 37.4393
_cell_angle_alpha 90.00
_cell_angle_beta 90.00
_cell_angle_gamma 120.00
_space_group_name_H-M_alt 'R -3 m'
_space_group_IT_number 166
_space_group_name_Hall '-R 3 2"'
loop_
_atom_site_label
_atom_site_type_symbol
_atom_site_fract_x
_atom_site_fract_y
_atom_site_fract_z
Ti1 Ti 0.0000 0.0000 0.0000
Bi1 Bi 0.0000 0.0000 0.5000
Se1 Se 0.0000 0.0000 0.0646
```

---

no.,E (eV/atom)
1,-4.790
2,-8.531
3,-4.385